Below is a geometry-optimized Pm4SmCu4 structure, with properties calculated at the PBE level.

a b c (Å): 8.600 8.600 6.291
angles (deg): 90.00 90.00 90.00
Space group P4_2/n (No. 86, origin choice 2)
One atom of each set of equivalent atoms:
Pm  0.048  0.661  0.151 x8
Sm  0.250  0.250  0.250 x2
Cu  0.021  0.623  0.606 x8

- Calculated formation energy: -6 meV per atom
- Crystal system: tetragonal
- Mass density: 7.0 g/cm3
- VASP energy: -4.46 eV per atom
- M_tot: 0.0 μB/f.u.



Below is a geometry-optimized In2MoCl structure, with properties calculated at the PBE level.

a b c (Å): 7.163 7.163 7.163
angles (deg): 90.00 90.00 90.00
Space group Fm-3m (No. 225)
One atom of each set of equivalent atoms:
In  0.250  0.250  0.250 x8
Mo  0.000  0.000  0.000 x4
Cl  0.000  0.000  0.500 x4

- Crystal system: cubic
- Mass density: 6.5 g/cm3
- Polymorph energy (0 for the lowest one): 2.39 eV/f.u.
- VASP energy: -3.86 eV per atom
- M_tot: 2.8 μB/f.u.
- E_form (uncorrected): 262.1 kJ/mol of formula units